[1]
Density functional theory data (PBE) for BaHgSb2Se4 after structural relaxation.

Output
Formation energy without anion corrections: -0.52 eV per atom

CIF file:
```
data_BaHgSb2Se4
_chemical_formula_sum 'Ba4 Hg4 Sb8 Se16'
_symmetry_space_group_name_H-M 'C m c m'
_symmetry_Int_Tables_number 63
_symmetry_space_group_name_Hall '-C 2c 2'
_cell_length_a 4.2552
_cell_length_b 13.8673
_cell_length_c 16.5332
_cell_angle_alpha 90.00
_cell_angle_beta 90.00
_cell_angle_gamma 90.00
loop_
_atom_site_label
_atom_site_fract_x
_atom_site_fract_y
_atom_site_fract_z
_atom_site_occupancy
Ba1 0.0000 0.1481 0.2500 1
Hg1 0.0000 0.1489 0.7500 1
Sb1 0.0000 0.3685 0.0538 1
Se1 0.0000 0.0000 0.0000 1
Se2 0.0000 0.2723 0.5914 1
Se3 0.0000 0.4830 0.2500 1
```


[2]
Density functional theory data (PBE) for Ba2SnHg4Sb2 after structural relaxation.

Output
Formation energy without anion corrections: -0.43 eV per atom

CIF file:
```
data_Ba2SnHg4Sb2
_chemical_formula_sum 'Ba4 Sn2 Hg8 Sb4'
_symmetry_space_group_name_H-M 'I 4/m m m'
_symmetry_Int_Tables_number 139
_symmetry_space_group_name_Hall '-I 4 2'
_cell_length_a 7.2544
_cell_length_b 7.2544
_cell_length_c 11.1018
_cell_angle_alpha 90.00
_cell_angle_beta 90.00
_cell_angle_gamma 90.00
loop_
_atom_site_label
_atom_site_fract_x
_atom_site_fract_y
_atom_site_fract_z
_atom_site_occupancy
Ba1 0.0000 0.5000 0.2500 1
Sn1 0.0000 0.0000 0.0000 1
Hg1 0.2130 0.2130 0.5000 1
Sb1 0.0000 0.0000 0.2789 1
```


[3]
Density functional theory data (PBE) for BaSnHgSb2 after structural relaxation.

Output
Formation energy without anion corrections: -0.36 eV per atom

CIF file:
```
data_BaSnHgSb2
_chemical_formula_sum 'Ba4 Sn4 Hg4 Sb8'
_symmetry_space_group_name_H-M 'C 1 2/m 1'
_symmetry_Int_Tables_number 12
_cell_length_a 15.8411
_cell_length_b 5.3536
_cell_length_c 10.3558
_cell_angle_alpha 90.00
_cell_angle_beta 127.82
_cell_angle_gamma 90.00
loop_
_symmetry_equiv_pos_as_xyz
'x,y,z'
'-x,-y,-z'
'-x,y,-z'
'x,-y,z'
'x+1/2,y+1/2,z'
'-x+1/2,-y+1/2,-z'
'-x+1/2,y+1/2,-z'
'x+1/2,-y+1/2,z'
loop_
_atom_site_label
_atom_site_fract_x
_atom_site_fract_y
_atom_site_fract_z
_atom_site_occupancy
Ba1 0.2077 0.0000 0.2114 1
Sn1 0.0942 0.0000 0.7517 1
Hg1 0.1097 0.5000 0.3274 1
Sb1 0.1221 0.5000 0.9150 1
Sb2 0.1429 0.0000 0.5073 1
```


Number 1: magnetic moment 0.0 μB/cell. Number 2: magnetic moment 0.0 μB/cell. Number 3: magnetic moment 0.0 μB/cell.